Density functional theory data (PBE) for crystalline Sc2CdAu6 at its relaxed geometry.

total magnetic moment: 0.0 Bohr magnetons per cell
calculated total energy: -4.243 eV per atom
formation enthalpy at 0 K: -0.55 eV per atom
crystal system: monoclinic

a = 8.056 Å, b = 8.056 Å, c = 5.077 Å
α = 98.90°, β = 98.90°, γ = 143.37°
Fractional coordinates of all 9 atoms:
Sc1 0.163 0.837 0.000
Sc2 0.837 0.163 0.000
Cd1 0.000 0.000 0.500
Au1 0.168 0.510 0.676
Au2 0.331 0.331 0.170
Au3 0.490 0.832 0.324
Au4 0.510 0.168 0.676
Au5 0.669 0.669 0.830
Au6 0.832 0.490 0.324